Record 1
Here is crystalline PdAuO2 at its relaxed geometry from Alexandria. Energies are from PBE.

Cell lengths 4.0745, 4.0745, 4.0745 Å; angles 60.00, 60.00, 60.00 degrees
Closest atoms and distances in Å follow each position.
Element x y z (fractional)
Au: 0.5000 0.5000 0.5000  8 O 2.50
O: 0.2500 0.2500 0.2500  4 Au 2.50, 4 Pd 2.50
O: 0.7500 0.7500 0.7500  4 Au 2.50, 4 Pd 2.50
Pd: 0.0000 0.0000 0.0000  8 O 2.50

Properties
The formation energy from raw total energies comes out at 0.577 eV/atom.

Record 2
Here is crystalline SeIN2F at its relaxed geometry from Alexandria. Energies are from PBE.

Cell lengths 4.1310, 4.1310, 4.1478 Å; angles 90.00, 90.00, 90.00 degrees
Closest atoms and distances in Å follow each position.
Element x y z (fractional)
I: 0.5000 0.5000 0.5000  4 F 2.92, 8 N 2.93
N: 0.0000 0.5000 0.0000  2 Se 2.07
N: 0.5000 0.0000 0.0000  2 Se 2.07
Se: 0.0000 0.0000 0.0000  4 N 2.07, 2 F 2.07
F: 0.0000 0.0000 0.5000  2 Se 2.07

Properties
For the polymorph energy (0 for the lowest one), the calculation gives 0 meV per atom. The formation energy from raw total energies comes out at 1.264 eV/atom.

Record 3
Here is crystalline MgReHg2 at its relaxed geometry from Alexandria. Energies are from PBE.

Cell lengths 2.8848, 2.8848, 9.6604 Å; angles 90.00, 90.00, 106.95 degrees
Closest atoms and distances in Å follow each position.
Element x y z (fractional)
Hg: 0.0000 0.0000 0.9824  4 Hg 2.88, 2 Re 2.94
Hg: 0.5000 0.5000 0.2662  4 Hg 2.88, 2 Mg 2.97
Mg: 0.0000 0.0000 0.5166  2 Re 2.72, 4 Mg 2.88, 2 Hg 2.97
Re: 0.5000 0.5000 0.7348  2 Mg 2.72, 4 Re 2.88, 2 Hg 2.94

Properties
The formation energy is 0.474 eV/atom.

Record 4
Here is crystalline Ba4AsSe2Br at its relaxed geometry from Alexandria. Energies are from PBE.

Cell lengths 4.7705, 8.2358, 8.2126 Å; angles 108.83, 90.00, 90.00 degrees
Closest atoms and distances in Å follow each position.
Element x y z (fractional)
Ba: 0.5000 0.2698 0.2599  3 Se 3.28-3.41, 1 As 3.28, 2 Br 3.48
Ba: 0.5000 0.7302 0.7401  3 Se 3.28-3.41, 1 As 3.28, 2 Br 3.48
Ba: 0.0000 0.2611 0.7516  3 Se 3.28-3.42, 2 As 3.34, 1 Br 3.41
Ba: 0.0000 0.7389 0.2484  3 Se 3.28-3.42, 2 As 3.34, 1 Br 3.41
As: 0.5000 0.5000 0.0000  6 Ba 3.28-3.34
Se: 0.5000 0.0000 0.5000  6 Ba 3.41-3.42
Se: 0.0000 0.5000 0.5000  6 Ba 3.28
Br: 0.0000 0.0000 0.0000  6 Ba 3.41-3.48

Properties
The formation energy from raw total energies comes out at -1.797 eV/atom.

Record 5
Here is crystalline Zr4CuOs at its relaxed geometry from Alexandria. Energies are from PBE.

Cell lengths 5.5367, 5.5367, 5.5367 Å; angles 60.00, 60.00, 60.00 degrees
Closest atoms and distances in Å follow each position.
Element x y z (fractional)
Zr: 0.8800 0.3733 0.3733  6 Zr 2.73-2.81
Zr: 0.3733 0.3733 0.8800  6 Zr 2.73-2.81
Zr: 0.3733 0.8800 0.3733  6 Zr 2.73-2.81
Zr: 0.3733 0.3733 0.3733  6 Zr 2.73-2.81
Cu: 0.7500 0.7500 0.7500  12 Zr 3.25, 4 Os 3.39
Os: 0.0000 0.0000 0.0000  12 Zr 3.24, 4 Cu 3.39

Properties
The formation energy is 0.648 eV/atom. For the polymorph energy (0 for the lowest one), the calculation gives 875 meV per atom.

Record 6
Here is crystalline U2Tl2AgSe6 at its relaxed geometry from Alexandria. Energies are from PBE.

Cell lengths 7.1820, 7.1820, 8.1307 Å; angles 97.44, 97.44, 121.75 degrees
Closest atoms and distances in Å follow each position.
Element x y z (fractional)
U: 0.3357 0.6643 0.5000  6 Se 2.79-2.81
U: 0.6643 0.3357 0.5000  6 Se 2.79-2.81
Tl: 0.8417 0.1583 0.0000  6 Se 3.27-3.36
Tl: 0.1583 0.8417 0.0000  6 Se 3.27-3.36
Ag: 0.0000 0.0000 0.5000  6 Se 2.82-3.06
Se: 0.7219 0.7219 0.6950  2 U 2.80, 1 Ag 2.82
Se: 0.0596 0.4236 0.7070  2 U 2.79-2.81, 1 Ag 3.06
Se: 0.2781 0.2781 0.3050  2 U 2.80, 1 Ag 2.82
Se: 0.4236 0.0596 0.7070  2 U 2.79-2.81, 1 Ag 3.06
Se: 0.9404 0.5764 0.2930  2 U 2.79-2.81, 1 Ag 3.06
Se: 0.5764 0.9404 0.2930  2 U 2.79-2.81, 1 Ag 3.06

Properties
The formation energy from raw total energies comes out at -0.800 eV/atom.

Record 7
Here is crystalline Ti4Ni4Pd3 at its relaxed geometry from Alexandria. Energies are from PBE.

Cell lengths 2.7674, 8.5273, 8.0308 Å; angles 122.07, 99.92, 90.00 degrees
Closest atoms and distances in Å follow each position.
Element x y z (fractional)
Ti: 0.2019 0.7019 0.4039  6 Ni 2.53-2.72, 1 Pd 2.69, 2 Ti 2.77
Ti: 0.7981 0.2981 0.5961  6 Ni 2.53-2.72, 1 Pd 2.69, 2 Ti 2.77
Ti: 0.5000 0.7808 0.0000  2 Ni 2.36
Ti: 0.5000 0.2192 0.0000  2 Ni 2.36
Ni: 0.3243 0.0795 0.6486  3 Ti 2.36-2.53, 2 Ni 2.42
Ni: 0.6757 0.4309 0.3514  3 Ti 2.36-2.53, 2 Ni 2.42
Ni: 0.6757 0.9205 0.3514  3 Ti 2.36-2.53, 2 Ni 2.42
Ni: 0.3243 0.5691 0.6486  3 Ti 2.36-2.53, 2 Ni 2.42
Pd: 0.1123 0.1123 0.2246  4 Ni 2.71, 6 Ti 2.77-2.84, 3 Pd 2.77-2.99
Pd: 0.8877 0.8877 0.7754  4 Ni 2.71, 6 Ti 2.77-2.84, 3 Pd 2.77-2.99
Pd: 0.0000 0.5000 0.0000  6 Ti 2.69-2.77, 2 Pd 2.77

Properties
The formation energy is -0.288 eV/atom.

Record 8
Here is crystalline RbCaTa at its relaxed geometry from Alexandria. Energies are from PBE.

Cell lengths 4.5927, 4.5903, 15.3008 Å; angles 90.07, 81.71, 60.03 degrees
Closest atoms and distances in Å follow each position.
Element x y z (fractional)
Ca: 0.7252 0.7648 0.2479  6 Ta 3.27-3.28
Ca: 0.5615 0.8476 0.5026  6 Ta 3.27-3.28
Rb: 0.5335 0.3571 0.0175  3 Ca 4.36-4.38, 6 Rb 4.59
Rb: 0.0736 0.5911 0.7330  3 Ca 4.36-4.38, 6 Rb 4.59
Ta: 0.9768 0.1395 0.3752  3 Ta 2.65
Ta: 0.3101 0.4728 0.3752  3 Ta 2.65

Properties
The formation energy is 0.523 eV/atom. For the polymorph energy (0 for the lowest one), the calculation gives 125 meV per atom.